Entry 1:
The following is a PBE calculation of crystalline Sr2LiSiAu6 at its relaxed geometry, from Alexandria. Values from VASP.

Results
The calculation puts the size of the total moment at 0.00 μB per cell. As for the formation energy (no corrections): -491 kJ/mol of formula units. Its space group is P-1, No. 2. The energy is -3.55 eV/atom.

Cell and atoms, written as Quantum ESPRESSO input:
```
&SYSTEM
  ibrav = 0, nat = 10, ntyp = 4
/
ATOMIC_SPECIES
Li 6.94 Li.upf
Au 196.97 Au.upf
Si 28.09 Si.upf
Sr 87.62 Sr.upf
ATOMIC_POSITIONS crystal
Li 0.500 0.500 0.000
Au 0.748 0.678 0.500
Au 0.246 0.747 0.085
Au 0.672 0.749 0.080
Au 0.754 0.253 0.915
Au 0.252 0.322 0.500
Au 0.328 0.251 0.920
Si 0.000 0.000 0.000
Sr 0.782 0.217 0.437
Sr 0.218 0.783 0.563
CELL_PARAMETERS angstrom
-4.652 -4.778 -0.572
4.341 -3.774 -4.063
1.832 -6.637 1.493
```

Entry 2:
The following is a PBE calculation of crystalline LiAcPdF6 at its relaxed geometry, from Alexandria. Values from VASP.

Results
The calculation puts the size of the total moment at 2.52 μB per cell. As for the formation energy (no corrections): -2372 kJ/mol of formula units. Its space group is Imma, No. 74. The energy is -5.23 eV/atom.

Cell and atoms, written as Quantum ESPRESSO input:
```
&SYSTEM
  ibrav = 0, nat = 18, ntyp = 4
/
ATOMIC_SPECIES
F 19.00 F.upf
Ac 227.00 Ac.upf
Li 6.94 Li.upf
Pd 106.42 Pd.upf
ATOMIC_POSITIONS crystal
F 0.949 0.073 0.244
F 0.051 0.329 0.756
F 0.949 0.671 0.244
F 0.296 0.671 0.244
F 0.640 0.390 0.281
F 0.704 0.927 0.756
F 0.360 0.610 0.719
F 0.373 0.123 0.747
F 0.704 0.329 0.756
F 0.296 0.073 0.244
F 0.051 0.927 0.756
F 0.627 0.877 0.253
Ac 0.933 0.683 0.867
Ac 0.067 0.317 0.133
Li 0.500 0.000 0.500
Li 0.000 0.000 0.500
Pd 0.500 0.000 0.000
Pd 0.500 0.500 0.000
CELL_PARAMETERS angstrom
7.619 0.000 0.000
0.000 6.789 0.000
-3.809 -3.394 4.923
```